Arrangement P

# GaCo2O4 | the Open Quantum Materials Database | GGA+U | relaxed
data_GaCo2O4
_chemical_formula_sum 'Ga4 Co8 O16'
_cell_length_a 5.870
_cell_length_b 5.870
_cell_length_c 8.298
_cell_angle_alpha 90.00
_cell_angle_beta 90.00
_cell_angle_gamma 90.00
_symmetry_space_group_name_H-M 'P 41 2 2'
_symmetry_Int_Tables_number 91
loop_
_symmetry_equiv_pos_as_xyz
'x,y,z'
'-y,x,z+1/4'
'-x,-y,z+1/2'
'y,-x,z+3/4'
'x,-y,-z+1/2'
'-y,-x,-z+1/4'
'-x,y,-z'
'y,x,-z+3/4'
loop_
_atom_site_label
_atom_site_type_symbol
_atom_site_fract_x
_atom_site_fract_y
_atom_site_fract_z
Ga1 Ga 0.248 0.248 0.375
Co1 Co 0.000 0.256 0.000
Co2 Co 0.248 0.500 0.750
O1 O 0.009 0.243 0.758
O2 O 0.244 0.488 0.001
# Density ... 5.8 Mg/m³

***

Arrangement Q

# GaCo2O4 | the Open Quantum Materials Database | GGA+U | relaxed
data_GaCo2O4
_chemical_formula_sum 'Ga4 Co8 O16'
_cell_length_a 5.820
_cell_length_b 5.820
_cell_length_c 8.206
_cell_angle_alpha 90.00
_cell_angle_beta 90.00
_cell_angle_gamma 90.00
_symmetry_space_group_name_H-M 'P 41 2 2'
_symmetry_Int_Tables_number 91
loop_
_symmetry_equiv_pos_as_xyz
'x,y,z'
'-y,x,z+1/4'
'-x,-y,z+1/2'
'y,-x,z+3/4'
'x,-y,-z+1/2'
'-y,-x,-z+1/4'
'-x,y,-z'
'y,x,-z+3/4'
loop_
_atom_site_label
_atom_site_type_symbol
_atom_site_fract_x
_atom_site_fract_y
_atom_site_fract_z
Ga1 Ga 0.000 0.255 0.000
Co1 Co 0.252 0.252 0.375
Co2 Co 0.255 0.500 0.750
O1 O 0.028 0.257 0.758
O2 O 0.257 0.478 0.984
# Density ... 6.0 Mg/m³

***

Which of them is the most stable, and which is the least stable? arrangement P and arrangement Q, in that order.

***

Arrangement P

# GaCoPO | the Open Quantum Materials Database | GGA+U | relaxed
data_GaCoPO
_chemical_formula_sum 'Ga2 Co2 P2 O2'
_cell_length_a 3.967
_cell_length_b 3.967
_cell_length_c 8.516
_cell_angle_alpha 90.00
_cell_angle_beta 90.00
_cell_angle_gamma 90.00
_symmetry_space_group_name_H-M 'P 4/n m m'
_symmetry_Int_Tables_number 129
loop_
_symmetry_equiv_pos_as_xyz
'x,y,z'
'-x,-y,-z'
'-y+1/2,x,z'
'y+1/2,-x,-z'
'-x+1/2,-y+1/2,z'
'x+1/2,y+1/2,-z'
'y,-x+1/2,z'
'-y,x+1/2,-z'
'x+1/2,-y,-z'
'-x+1/2,y,z'
'-y,-x,-z'
'y,x,z'
'-x,y+1/2,-z'
'x,-y+1/2,z'
'y+1/2,x+1/2,-z'
'-y+1/2,-x+1/2,z'
loop_
_atom_site_label
_atom_site_type_symbol
_atom_site_fract_x
_atom_site_fract_y
_atom_site_fract_z
Ga1 Ga 0.250 0.750 0.000
Co1 Co 0.250 0.250 0.449
P1 P 0.250 0.250 0.168
O1 O 0.250 0.750 0.500
# Density ... 4.4 Mg/m³

***

Arrangement Q

# GaCoPO | the Open Quantum Materials Database | GGA+U | relaxed
data_GaCoPO
_chemical_formula_sum 'Ga2 Co2 P2 O2'
_cell_length_a 3.215
_cell_length_b 6.190
_cell_length_c 5.995
_cell_angle_alpha 90.00
_cell_angle_beta 90.00
_cell_angle_gamma 90.00
_symmetry_space_group_name_H-M 'P m c 21'
_symmetry_Int_Tables_number 26
loop_
_symmetry_equiv_pos_as_xyz
'x,y,z'
'-x,-y,z+1/2'
'-x,y,z'
'x,-y,z+1/2'
loop_
_atom_site_label
_atom_site_type_symbol
_atom_site_fract_x
_atom_site_fract_y
_atom_site_fract_z
Ga1 Ga 0.000 0.177 0.000
Co1 Co 0.500 0.374 0.559
P1 P 0.000 0.186 0.390
O1 O 0.500 0.326 0.902
# Density ... 4.9 Mg/m³

***

Which of them is the most stable, and which is the least stable? arrangement Q and arrangement P, in that order.